Record 1
Ac2Ga2Cl | GGA-PBE | optimized geometry

```
Ac2Ga2Cl
1.0
4.170 -0.011 -1.360
-2.309 3.730 -0.030
0.540 0.400 8.705
Ga Ac Cl
2 2 1
direct
0.350 0.175 0.525 Ga
0.650 0.825 0.475 Ga
0.824 0.412 0.236 Ac
0.176 0.588 0.764 Ac
0.000 0.000 0.000 Cl
```

final energy	-21.31	eV for the cell shown
crystal system	trigonal
size of the total moment	0.00	Bohr magnetons per cell
space-group type	R-3m
calculated volume	27.84	Å³ per atom


Record 2
Ac2GaCl | GGA-PBE | optimized geometry

```
Ac2GaCl
1.0
4.665 0.000 0.000
2.333 4.040 0.000
2.333 1.347 6.993
Ac Cl Ga
2 1 1
direct
0.253 0.253 0.241 Ac
0.747 0.747 0.759 Ac
0.500 0.500 0.500 Cl
0.000 0.000 0.000 Ga
```

crystal system	trigonal
size of the total moment	0.00	Bohr magnetons per cell
space-group type	R-3m
calculated volume	32.95	Å³ per atom
polymorph energy (0 for the lowest one)	50	meV/atom


> Which value of calculated volume does entry 1 give?

27.84 Å³ per atom


> calculated volume of number 2 (Ac2GaCl)?

32.95 Å³ per atom


> Number 1 is which compound?

Ac2Ga2Cl


> Number 2 is which compound?

Ac2GaCl